Entry 1:
The following is a DFT calculation (meta-GGA SCAN) of a crystal of Na3Nd5Cl18 relaxed with PBEsol.

Geometry as POSCAR:
```
Na3Nd5Cl18
1.0
7.494 0.000 0.000
-3.747 6.490 0.000
0.000 0.000 12.520
Na Nd Cl
3 5 18
Cartesian
0.000 0.000 6.260
0.000 4.326 9.090
0.000 4.326 3.430
0.000 0.000 2.104
0.000 0.000 10.416
3.747 2.163 0.000
3.747 2.163 8.268
3.747 2.163 4.252
-0.832 1.779 0.000
-0.859 1.801 8.439
-0.859 1.801 4.082
-1.790 6.321 0.000
-1.758 6.333 8.439
-1.758 6.333 4.082
4.913 3.763 2.054
4.913 3.763 10.466
4.951 3.700 6.260
2.623 4.880 0.000
2.616 4.845 8.439
2.616 4.845 4.082
1.778 2.374 2.054
1.778 2.374 10.466
1.814 2.437 6.260
4.549 0.353 2.054
4.549 0.353 10.466
4.476 0.353 6.260
```

DOS at the Fermi energy	0.00	states/eV per cell
final energy	-438.1	eV/cell
V	23.4	Å³ per atom
formation energy from raw total energies	-63.94	eV per formula unit

Entry 2:
The following is a DFT calculation (meta-GGA SCAN) of a crystal of WN2O2 relaxed with PBEsol.

Geometry as POSCAR:
```
WN2O2
1.0
-2.276 1.211 -2.100
-1.121 -3.244 -0.656
-2.288 0.259 2.629
O W N
2 1 2
Cartesian
0.000 0.000 0.000
-1.138 0.605 -1.050
-2.842 -0.887 -0.064
-1.144 0.130 1.314
-0.560 -1.622 -0.328
```

DOS at the Fermi energy	2.52	states/eV per cell
final energy	-91.7	eV/cell
V	8.1	Å³ per atom
distance to the lowest polymorph of the same formula	165.2	kJ/mol of atoms
formation energy from raw total energies	9.00	eV per formula unit

Entry 3:
The following is a DFT calculation (meta-GGA SCAN) of a crystal of LiMnCd3 relaxed with PBEsol.

Geometry as POSCAR:
```
LiMnCd3
1.0
5.083 0.000 0.000
0.000 5.083 0.000
0.000 0.000 5.083
Mn Li Cd
1 1 3
Cartesian
0.000 0.000 0.000
2.541 2.541 2.541
0.000 2.541 0.000
0.000 0.000 2.541
2.541 0.000 0.000
```

DOS at the Fermi energy	2.72	states/eV per cell
final energy	-110.2	eV/cell
E_form	0.34	eV per atom
V	26.3	Å³ per atom